The following is a DFT calculation (GGA-PBE) of an optimized crystal structure of Na3HgCl4.

Calculated values
E_tot in eV per atom: -2.84
DOS(E_F) in states/eV/atom: 0.143
Uncorrected formation energy in meV/atom: -1381
Calculated density in g cm⁻³: 2.86

a = 5.532 Å, b = 10.002 Å, c = 8.645 Å
α = 90.00°, β = 90.00°, γ = 90.00°
Fractional coordinates of all 16 atoms:
Na: 0.250 0.004 0.162
Na: 0.250 0.496 0.162
Na: 0.250 0.750 0.675
Na: 0.750 0.250 0.325
Na: 0.750 0.504 0.838
Na: 0.750 0.996 0.838
Hg: 0.250 0.250 0.667
Hg: 0.750 0.750 0.333
Cl: 0.250 0.250 0.311
Cl: 0.250 0.517 0.844
Cl: 0.250 0.750 0.335
Cl: 0.250 0.983 0.844
Cl: 0.750 0.017 0.156
Cl: 0.750 0.250 0.665
Cl: 0.750 0.483 0.156
Cl: 0.750 0.750 0.689

The following is a DFT calculation (GGA-PBE) of an optimized crystal structure of NbAg3As.

Calculated values
E_tot in eV per atom: -3.68
DOS(E_F) in states/eV/atom: 1.168
Energy of formation in eV/atom: 0.976
Energy above the lowest structure with this stoichiometry in eV per atom: 0.0000
Calculated density in g cm⁻³: 7.05

a = 4.874 Å, b = 4.874 Å, c = 4.874 Å
α = 90.00°, β = 90.00°, γ = 90.00°
Fractional coordinates of all 5 atoms:
Nb: 0.000 0.000 0.000
Ag: 0.000 0.500 0.500
Ag: 0.500 0.000 0.500
Ag: 0.500 0.500 0.000
As: 0.500 0.500 0.500

The following is a DFT calculation (GGA-PBE) of an optimized crystal structure of Sc6C2Se3N.

Calculated values
E_tot in eV per atom: -7.63
DOS(E_F) in states/eV/atom: 0.266
Uncorrected formation energy in meV/atom: -1360
Calculated density in g cm⁻³: 4.67

a = 6.039 Å, b = 6.039 Å, c = 6.449 Å
α = 98.98°, β = 98.98°, γ = 119.99°
Fractional coordinates of all 12 atoms:
Sc: 0.101 0.435 0.804
Sc: 0.232 0.232 0.197
Sc: 0.435 0.101 0.804
Sc: 0.565 0.899 0.196
Sc: 0.768 0.768 0.803
Sc: 0.899 0.565 0.196
C: 0.167 0.833 0.000
C: 0.833 0.167 0.000
Se: 0.000 0.000 0.500
Se: 0.333 0.667 0.500
Se: 0.667 0.333 0.500
N: 0.500 0.500 0.000

The following is a DFT calculation (GGA-PBE) of an optimized crystal structure of MgTi2PdAu.

Calculated values
E_tot in eV per atom: -4.59
DOS(E_F) in states/eV/atom: 1.413
Energy of formation in eV/atom: 0.582
Calculated density in g cm⁻³: 6.04

a = 4.897 Å, b = 4.897 Å, c = 4.856 Å
α = 90.00°, β = 90.00°, γ = 90.00°
Fractional coordinates of all 5 atoms:
Mg: 0.000 0.000 0.000
Ti: 0.000 0.500 0.500
Ti: 0.500 0.000 0.500
Pd: 0.500 0.500 0.000
Au: 0.000 0.000 0.500

The following is a DFT calculation (GGA-PBE) of an optimized crystal structure of K8Bi2Sb.

Calculated values
E_tot in eV per atom: -2.23
DOS(E_F) in states/eV/atom: 1.564
Uncorrected formation energy in meV/atom: -353
Calculated density in g cm⁻³: 2.96

a = 10.511 Å, b = 10.511 Å, c = 8.565 Å
α = 112.80°, β = 112.80°, γ = 33.62°
Fractional coordinates of all 11 atoms:
K: 0.009 0.009 0.246
K: 0.181 0.181 0.713
K: 0.344 0.344 0.598
K: 0.363 0.363 0.083
K: 0.637 0.637 0.917
K: 0.656 0.656 0.402
K: 0.819 0.819 0.287
K: 0.991 0.991 0.754
Bi: 0.184 0.184 0.175
Bi: 0.816 0.816 0.825
Sb: 0.500 0.500 0.500

The following is a DFT calculation (GGA-PBE) of an optimized crystal structure of CeTh2Tl.

Calculated values
E_tot in eV per atom: -5.34
DOS(E_F) in states/eV/atom: 1.628
Energy of formation in eV/atom: 0.443
Energy above the lowest structure with this stoichiometry in eV per atom: 0.5131
Calculated density in g cm⁻³: 10.95

a = 4.227 Å, b = 4.227 Å, c = 23.766 Å
α = 90.00°, β = 90.00°, γ = 120.00°
Fractional coordinates of all 12 atoms:
Ce: 0.000 0.000 0.000
Ce: 0.333 0.667 0.667
Ce: 0.667 0.333 0.333
Th: 0.000 0.000 0.399
Th: 0.000 0.000 0.588
Th: 0.333 0.667 0.066
Th: 0.333 0.667 0.255
Th: 0.667 0.333 0.733
Th: 0.667 0.333 0.922
Tl: 0.000 0.000 0.161
Tl: 0.333 0.667 0.827
Tl: 0.667 0.333 0.494

The following is a DFT calculation (GGA-PBE) of an optimized crystal structure of Ac3OsICl.

Calculated values
E_tot in eV per atom: -5.40
DOS(E_F) in states/eV/atom: 0.430
Uncorrected formation energy in meV/atom: -909
Calculated density in g cm⁻³: 7.40

a = 10.177 Å, b = 4.409 Å, c = 10.384 Å
α = 90.00°, β = 95.27°, γ = 90.00°
Fractional coordinates of all 12 atoms:
Ac: 0.074 0.250 0.356
Ac: 0.162 0.250 0.926
Ac: 0.321 0.750 0.645
Ac: 0.679 0.250 0.355
Ac: 0.838 0.750 0.074
Ac: 0.926 0.750 0.644
Os: 0.126 0.250 0.653
Os: 0.874 0.750 0.347
I: 0.386 0.750 0.325
I: 0.614 0.250 0.675
Cl: 0.367 0.750 0.934
Cl: 0.633 0.250 0.066

The following is a DFT calculation (GGA-PBE) of an optimized crystal structure of NaSrSi3.

Calculated values
E_tot in eV per atom: -4.07
DOS(E_F) in states/eV/atom: 0.378
Uncorrected formation energy in meV/atom: -214
Energy above the lowest structure with this stoichiometry in eV per atom: 0.0000
Calculated density in g cm⁻³: 2.75

a = 12.663 Å, b = 12.663 Å, c = 3.988 Å
α = 90.00°, β = 90.00°, γ = 158.39°
Fractional coordinates of all 10 atoms:
Na: 0.206 0.794 0.750
Na: 0.794 0.206 0.250
Sr: 0.073 0.927 0.250
Sr: 0.927 0.073 0.750
Si: 0.330 0.670 0.750
Si: 0.381 0.619 0.250
Si: 0.476 0.524 0.250
Si: 0.524 0.476 0.750
Si: 0.619 0.381 0.750
Si: 0.670 0.330 0.250

The following is a DFT calculation (GGA-PBE) of an optimized crystal structure of Sr4FeMo.

Calculated values
E_tot in eV per atom: -2.85
DOS(E_F) in states/eV/atom: 2.155
Energy of formation in eV/atom: 1.488
Calculated density in g cm⁻³: 3.62

a = 6.880 Å, b = 6.880 Å, c = 6.880 Å
α = 60.00°, β = 60.00°, γ = 60.00°
Fractional coordinates of all 6 atoms:
Sr: 0.125 0.125 0.125
Sr: 0.125 0.125 0.625
Sr: 0.125 0.625 0.125
Sr: 0.625 0.125 0.125
Fe: 0.750 0.750 0.750
Mo: 0.500 0.500 0.500

The following is a DFT calculation (GGA-PBE) of an optimized crystal structure of Cs2I6ClF.

Calculated values
E_tot in eV per atom: -2.07
DOS(E_F) in states/eV/atom: 0.000
Uncorrected formation energy in meV/atom: -599
Calculated density in g cm⁻³: 4.19

a = 8.415 Å, b = 8.415 Å, c = 8.415 Å
α = 118.81°, β = 118.81°, γ = 92.07°
Fractional coordinates of all 10 atoms:
Cs: 0.250 0.750 0.500
Cs: 0.750 0.250 0.500
I: 0.198 0.198 0.000
I: 0.272 0.272 0.543
I: 0.272 0.728 0.000
I: 0.728 0.272 0.000
I: 0.728 0.728 0.457
I: 0.802 0.802 0.000
Cl: 0.500 0.500 0.000
F: 0.000 0.000 0.000

The following is a DFT calculation (GGA-PBE) of an optimized crystal structure of LaCrCl2.

Calculated values
E_tot in eV per atom: -5.28
DOS(E_F) in states/eV/atom: 0.346
Uncorrected formation energy in meV/atom: -723
Energy above the lowest structure with this stoichiometry in eV per atom: 0.1593
Calculated density in g cm⁻³: 4.74

a = 4.753 Å, b = 4.753 Å, c = 8.114 Å
α = 90.00°, β = 90.00°, γ = 90.00°
Fractional coordinates of all 8 atoms:
La: 0.000 0.000 0.000
La: 0.500 0.500 0.500
Cr: 0.000 0.000 0.500
Cr: 0.500 0.500 0.000
Cl: 0.000 0.500 0.250
Cl: 0.000 0.500 0.750
Cl: 0.500 0.000 0.250
Cl: 0.500 0.000 0.750

The following is a DFT calculation (GGA-PBE) of an optimized crystal structure of Ce3SnSb4.

Calculated values
E_tot in eV per atom: -5.51
DOS(E_F) in states/eV/atom: 2.258
Uncorrected formation energy in meV/atom: -725
Calculated density in g cm⁻³: 6.58

a = 6.373 Å, b = 6.373 Å, c = 6.373 Å
α = 90.00°, β = 90.00°, γ = 90.00°
Fractional coordinates of all 8 atoms:
Ce: 0.000 0.000 0.500
Ce: 0.000 0.500 0.000
Ce: 0.500 0.000 0.000
Sn: 0.500 0.500 0.500
Sb: 0.000 0.000 0.000
Sb: 0.000 0.500 0.500
Sb: 0.500 0.000 0.500
Sb: 0.500 0.500 0.000

no.,size of the total moment (μB per atom)
1,0.000
2,0.802
3,0.000
4,0.389
5,0.106
6,0.000
7,0.098
8,0.000
9,1.208
10,0.000
11,1.268
12,0.237